Material: GeBiSe2
Method: DFT, GGA-PBEsol
State: optimized geometry

Computed properties:
Formation energy from raw total energies ... -52 meV/atom
Relative energy among the computed polymorphs ... 0.000 eV/f.u.
Final energy ... -4.28 eV per atom

```
data_GeBiSe2
_chemical_formula_sum 'Ge4 Bi4 Se8'
_cell_length_a 7.0770
_cell_length_b 7.0770
_cell_length_c 7.0770
_cell_angle_alpha 90.00
_cell_angle_beta 90.00
_cell_angle_gamma 90.00
_space_group_name_H-M_alt 'F m -3 m'
_space_group_IT_number 225
_space_group_name_Hall '-F 4 2 3'
loop_
_atom_site_label
_atom_site_fract_x
_atom_site_fract_y
_atom_site_fract_z
Ge1 0.0000 0.0000 0.0000
Bi1 0.0000 0.0000 0.5000
Se1 0.2500 0.2500 0.2500
```


Material: CrTcAu
Method: DFT, GGA-PBEsol
State: optimized geometry

Computed properties:
DFT formation energy ... 0.66 eV/atom
Final energy ... -7.81 eV per atom

```
data_CrTcAu
_chemical_formula_sum 'Cr4 Tc4 Au4'
_cell_length_a 5.7506
_cell_length_b 5.7506
_cell_length_c 5.7506
_cell_angle_alpha 90.00
_cell_angle_beta 90.00
_cell_angle_gamma 90.00
_space_group_name_H-M_alt 'F -4 3 m'
_space_group_IT_number 216
_space_group_name_Hall 'F -4 2 3'
loop_
_atom_site_label
_atom_site_fract_x
_atom_site_fract_y
_atom_site_fract_z
Cr1 0.0000 0.0000 0.0000
Tc1 0.2500 0.2500 0.7500
Au1 0.2500 0.2500 0.2500
```


Material: CrNiSb2Te
Method: DFT, GGA-PBEsol
State: optimized geometry

Computed properties:
Formation energy from raw total energies ... 611 meV/atom
Final energy ... -5.20 eV per atom

```
data_CrNiSb2Te
_chemical_formula_sum 'Cr1 Ni1 Sb2 Te1'
_cell_length_a 4.8201
_cell_length_b 4.8201
_cell_length_c 5.1866
_cell_angle_alpha 90.00
_cell_angle_beta 90.00
_cell_angle_gamma 90.00
_space_group_name_H-M_alt 'P 4/m m m'
_space_group_IT_number 123
_space_group_name_Hall '-P 4 2'
loop_
_atom_site_label
_atom_site_fract_x
_atom_site_fract_y
_atom_site_fract_z
Cr1 0.0000 0.0000 0.0000
Ni1 0.5000 0.5000 0.5000
Sb1 0.0000 0.5000 0.5000
Te1 0.5000 0.5000 0.0000
```


Material: KP2Au
Method: DFT, GGA-PBEsol
State: optimized geometry

Computed properties:
DFT formation energy ... -0.28 eV/atom
Relative energy among the computed polymorphs ... 0.000 eV/f.u.
Final energy ... -4.44 eV per atom

```
data_KP2Au
_chemical_formula_sum 'K2 P4 Au2'
_cell_length_a 10.7204
_cell_length_b 3.3434
_cell_length_c 6.4780
_cell_angle_alpha 90.00
_cell_angle_beta 118.69
_cell_angle_gamma 90.00
_space_group_name_H-M_alt 'C 1 m 1'
_space_group_IT_number 8
loop_
_space_group_symop_operation_xyz
'x,y,z'
'x,-y,z'
'x+1/2,y+1/2,z'
'x+1/2,-y+1/2,z'
loop_
_atom_site_label
_atom_site_fract_x
_atom_site_fract_y
_atom_site_fract_z
K1 0.0000 0.0000 0.0000
P1 0.1241 0.0000 0.6315
P2 0.4836 0.0000 0.4133
Au1 0.3009 0.0000 0.5147
```


Material: MgAg3
Method: DFT, GGA-PBEsol
State: optimized geometry

Computed properties:
DFT formation energy ... -0.17 eV/atom
Relative energy among the computed polymorphs ... 0.040 eV/f.u.
Final energy ... -3.08 eV per atom

```
data_MgAg3
_chemical_formula_sum 'Mg1 Ag3'
_cell_length_a 4.0780
_cell_length_b 4.0780
_cell_length_c 4.0780
_cell_angle_alpha 90.00
_cell_angle_beta 90.00
_cell_angle_gamma 90.00
_space_group_name_H-M_alt 'P m -3 m'
_space_group_IT_number 221
_space_group_name_Hall '-P 4 2 3'
loop_
_atom_site_label
_atom_site_fract_x
_atom_site_fract_y
_atom_site_fract_z
Mg1 0.0000 0.0000 0.0000
Ag1 0.0000 0.5000 0.5000
```


Material: RbTl3C
Method: DFT, GGA-PBEsol
State: optimized geometry

Computed properties:
DFT formation energy ... 0.88 eV/atom
Relative energy among the computed polymorphs ... 0.000 eV/f.u.
Final energy ... -2.83 eV per atom

```
data_RbTl3C
_chemical_formula_sum 'Rb1 Tl3 C1'
_cell_length_a 5.2022
_cell_length_b 5.2022
_cell_length_c 5.2022
_cell_angle_alpha 90.00
_cell_angle_beta 90.00
_cell_angle_gamma 90.00
_space_group_name_H-M_alt 'P m -3 m'
_space_group_IT_number 221
_space_group_name_Hall '-P 4 2 3'
loop_
_atom_site_label
_atom_site_fract_x
_atom_site_fract_y
_atom_site_fract_z
Rb1 0.0000 0.0000 0.0000
Tl1 0.0000 0.5000 0.5000
C1 0.5000 0.5000 0.5000
```


Material: ZrTiSi2O
Method: DFT, GGA-PBEsol
State: optimized geometry

Computed properties:
Formation energy from raw total energies ... -471 meV/atom
Final energy ... -7.30 eV per atom

```
data_ZrTiSi2O
_chemical_formula_sum 'Zr1 Ti1 Si2 O1'
_cell_length_a 4.9164
_cell_length_b 4.9164
_cell_length_c 3.5801
_cell_angle_alpha 90.00
_cell_angle_beta 90.00
_cell_angle_gamma 90.00
_space_group_name_H-M_alt 'P 4/m m m'
_space_group_IT_number 123
_space_group_name_Hall '-P 4 2'
loop_
_atom_site_label
_atom_site_fract_x
_atom_site_fract_y
_atom_site_fract_z
Zr1 0.0000 0.0000 0.0000
Ti1 0.5000 0.5000 0.5000
Si1 0.0000 0.5000 0.5000
O1 0.5000 0.5000 0.0000
```


Material: ZrPRh
Method: DFT, GGA-PBEsol
State: optimized geometry

Computed properties:
DFT formation energy ... -1.38 eV/atom
Final energy ... -9.05 eV per atom

```
data_ZrPRh
_chemical_formula_sum 'Zr4 P4 Rh4'
_cell_length_a 6.4491
_cell_length_b 3.7715
_cell_length_c 7.3558
_cell_angle_alpha 90.00
_cell_angle_beta 90.00
_cell_angle_gamma 90.00
_space_group_name_H-M_alt 'P n m a'
_space_group_IT_number 62
loop_
_space_group_symop_operation_xyz
'x,y,z'
'-x,-y,-z'
'-x+1/2,-y,z+1/2'
'x+1/2,y,-z+1/2'
'x+1/2,-y+1/2,-z+1/2'
'-x+1/2,y+1/2,z+1/2'
'-x,y+1/2,-z'
'x,-y+1/2,z'
loop_
_atom_site_label
_atom_site_fract_x
_atom_site_fract_y
_atom_site_fract_z
Zr1 0.0265 0.2500 0.1798
P1 0.2381 0.7500 0.3775
Rh1 0.1432 0.2500 0.5619
```


Material: NiPb2W
Method: DFT, GGA-PBEsol
State: optimized geometry

Computed properties:
DFT formation energy ... 0.40 eV/atom
Relative energy among the computed polymorphs ... 0.000 eV/f.u.
Final energy ... -6.59 eV per atom

```
data_NiPb2W
_chemical_formula_sum 'Ni1 Pb2 W1'
_cell_length_a 3.0134
_cell_length_b 3.0134
_cell_length_c 9.1105
_cell_angle_alpha 90.00
_cell_angle_beta 90.00
_cell_angle_gamma 90.00
_space_group_name_H-M_alt 'P 4 m m'
_space_group_IT_number 99
loop_
_space_group_symop_operation_xyz
'x,y,z'
'-y,x,z'
'-x,-y,z'
'y,-x,z'
'-x,y,z'
'y,x,z'
'x,-y,z'
'-y,-x,z'
loop_
_atom_site_label
_atom_site_fract_x
_atom_site_fract_y
_atom_site_fract_z
Ni1 0.0000 0.0000 0.0000
Pb1 0.0000 0.0000 0.5958
Pb2 0.5000 0.5000 0.2152
W1 0.5000 0.5000 0.8487
```


Material: NaCr2RuPb
Method: DFT, GGA-PBEsol
State: optimized geometry

Computed properties:
DFT formation energy ... 1.15 eV/atom
Final energy ... -6.06 eV per atom

```
data_NaCr2RuPb
_chemical_formula_sum 'Na1 Cr2 Ru1 Pb1'
_cell_length_a 4.5727
_cell_length_b 4.5727
_cell_length_c 5.2003
_cell_angle_alpha 90.00
_cell_angle_beta 90.00
_cell_angle_gamma 90.00
_space_group_name_H-M_alt 'P 4/m m m'
_space_group_IT_number 123
_space_group_name_Hall '-P 4 2'
loop_
_atom_site_label
_atom_site_fract_x
_atom_site_fract_y
_atom_site_fract_z
Na1 0.0000 0.0000 0.0000
Cr1 0.0000 0.5000 0.5000
Ru1 0.0000 0.0000 0.5000
Pb1 0.5000 0.5000 0.0000
```


Material: Os2PbBr
Method: DFT, GGA-PBEsol
State: optimized geometry

Computed properties:
Formation energy from raw total energies ... 1487 meV/atom
Final energy ... -6.09 eV per atom

```
data_Os2PbBr
_chemical_formula_sum 'Os8 Pb4 Br4'
_cell_length_a 6.5139
_cell_length_b 6.5139
_cell_length_c 6.5139
_cell_angle_alpha 90.00
_cell_angle_beta 90.00
_cell_angle_gamma 90.00
_space_group_name_H-M_alt 'F m -3 m'
_space_group_IT_number 225
_space_group_name_Hall '-F 4 2 3'
loop_
_atom_site_label
_atom_site_fract_x
_atom_site_fract_y
_atom_site_fract_z
Os1 0.2500 0.2500 0.2500
Pb1 0.0000 0.0000 0.0000
Br1 0.0000 0.0000 0.5000
```


Material: CuTe3N
Method: DFT, GGA-PBEsol
State: optimized geometry

Computed properties:
Formation energy from raw total energies ... 828 meV/atom
Final energy ... -3.86 eV per atom

```
data_CuTe3N
_chemical_formula_sum 'Cu1 Te3 N1'
_cell_length_a 4.6589
_cell_length_b 4.6589
_cell_length_c 4.6589
_cell_angle_alpha 90.00
_cell_angle_beta 90.00
_cell_angle_gamma 90.00
_space_group_name_H-M_alt 'P m -3 m'
_space_group_IT_number 221
_space_group_name_Hall '-P 4 2 3'
loop_
_atom_site_label
_atom_site_fract_x
_atom_site_fract_y
_atom_site_fract_z
Cu1 0.0000 0.0000 0.0000
Te1 0.0000 0.5000 0.5000
N1 0.5000 0.5000 0.5000
```


Material: AgCCl2
Method: DFT, GGA-PBEsol
State: optimized geometry

Computed properties:
Formation energy from raw total energies ... 1239 meV/atom
Final energy ... -3.00 eV per atom

```
data_AgCCl2
_chemical_formula_sum 'Ag4 C4 Cl8'
_cell_length_a 5.0112
_cell_length_b 5.0112
_cell_length_c 13.0026
_cell_angle_alpha 90.00
_cell_angle_beta 90.00
_cell_angle_gamma 90.00
_space_group_name_H-M_alt 'I -4 2 d'
_space_group_IT_number 122
_space_group_name_Hall 'I -4 2bw'
loop_
_atom_site_label
_atom_site_fract_x
_atom_site_fract_y
_atom_site_fract_z
Ag1 0.0000 0.0000 0.0000
C1 0.0000 0.0000 0.5000
Cl1 0.1932 0.2500 0.6250
```